The following is a PBE calculation of an optimized crystal structure of LaTlZn2Co, from Alexandria.

Cell: 4.8577 4.8577 4.8782 Å, 90.00 90.00 90.00°
With the nearest neighbours (Å) after each atom.
Fractional coordinates of all 5 atoms:
Co 0.0000 0.0000 0.0000  4 Zn 2.43, 2 La 2.44
Tl 0.5000 0.5000 0.5000  4 La 3.43, 8 Zn 3.44
Zn 0.0000 0.5000 0.0000  2 Co 2.43
Zn 0.5000 0.0000 0.0000  2 Co 2.43
La 0.0000 0.0000 0.5000  2 Co 2.44

## Properties
Energy of formation: -1.9 kcal/mol of atoms
Total magnetization: 0.00 μB/f.u.
Space group: P4/mmm, No. 123
Offset from the most stable computed form: 0.015 eV per atom